(1)
Computed, not measured: an optimized crystal structure of Bi2Te2H at the PBE level of DFT.

As for the energy relative to the lowest polymorph listed for this composition: 0.000 eV per atom. For the energy, the calculation gives -30.2 eV per cell. The volume comes out at 29.49 Å³/atom.

The structure belongs to space group P4/mbm (No. 127); the cell edges are 8.2726, 8.2726 and 4.3097 Å and the angles 90.00°, 90.00° and 90.00°. The distinct sites, in fractional coordinates, are Bi at (0.1435, 0.3565, 0.0000), Te at (0.1626, 0.6626, 0.5000) and H at (0.0000, 0.0000, 0.5000).

***

(2)
Computed, not measured: an optimized crystal structure of NdTm3H at the PBE level of DFT.

For the energy, the calculation gives -22.3 eV per cell. The volume comes out at 24.48 Å³/atom.

The structure belongs to space group Pm-3m (No. 221); the cell edges are 4.9649, 4.9649 and 4.9649 Å and the angles 90.00°, 90.00° and 90.00°. The distinct sites, in fractional coordinates, are Nd at (0.0000, 0.0000, 0.0000), Tm at (0.0000, 0.5000, 0.5000) and H at (0.5000, 0.5000, 0.5000).